Below is a relaxed LiCdSb2I crystal, with properties calculated at the PBEsol level.

Values from the calculation:
**Space group**: No. 123
**DOS(E_F)**: 5.3 states/eV/f.u.
**Electronic total energy**: -2.4489 eV per atom

Unit cell a=5.408 b=5.408 c=6.276 alpha=90.00 beta=90.00 gamma=90.00
Sites, in units of the cell vectors:
Li 0.000 0.000 0.000
Cd 0.500 0.500 0.500
Sb 0.000 0.500 0.500
Sb 0.500 0.000 0.500
I 0.500 0.500 0.000


Below is a relaxed CuAg3 crystal, with properties calculated at the PBEsol level.

Values from the calculation:
**Space group**: No. 62
**DOS(E_F)**: 1.2 states/eV/f.u.
**E_form**: 1.9 kcal/mol of atoms
**Electronic total energy**: -3.4858 eV per atom

Unit cell a=4.835 b=9.091 c=5.611 alpha=90.00 beta=90.00 gamma=90.00
Sites, in units of the cell vectors:
Cu 0.081 0.250 0.129
Cu 0.419 0.750 0.629
Cu 0.581 0.250 0.371
Cu 0.919 0.750 0.871
Ag 0.070 0.250 0.619
Ag 0.242 0.506 0.872
Ag 0.242 0.994 0.872
Ag 0.258 0.006 0.372
Ag 0.258 0.494 0.372
Ag 0.430 0.750 0.119
Ag 0.570 0.250 0.881
Ag 0.742 0.506 0.628
Ag 0.742 0.994 0.628
Ag 0.758 0.006 0.128
Ag 0.758 0.494 0.128
Ag 0.930 0.750 0.381


Below is a relaxed CaLa2Ru crystal, with properties calculated at the PBEsol level.

Values from the calculation:
**Space group**: No. 123
**DOS(E_F)**: 4.8 states/eV/f.u.
**E_form**: -1.1 kcal/mol of atoms
**Electronic total energy**: -5.7975 eV per atom

Unit cell a=3.494 b=3.494 c=9.964 alpha=90.00 beta=90.00 gamma=90.00
Sites, in units of the cell vectors:
Ca 0.000 0.000 0.000
La 0.500 0.500 0.330
La 0.500 0.500 0.670
Ru 0.000 0.000 0.500